{"formula": "SiMoP2O", "functional": "PBE with a Hubbard U", "state": "optimized geometry", "e_above_lowest_polymorph_ev_per_fu": 0.00, "volume_a3_per_fu": 76.4, "total_magnetization_mub_per_atom": 0.647, "sg": "P4/mmm, No. 123", "lattice": [[4.833, 0.000, 0.000], [0.000, 4.833, 0.000], [0.000, 0.000, 3.269]], "species": ["P", "P", "O", "Mo", "Si"], "fractional_positions": [[0.500, 0.000, 0.000], [0.000, 0.500, 0.000], [0.000, 0.000, 0.500], [0.500, 0.500, 0.500], [0.000, 0.000, 0.000]]}